No. 1
Computed, not measured: a relaxed BaBi2SbP crystal at the PBE level of DFT.

Values from the calculation:
As for the formation energy without anion corrections: -0.05 eV per atom. The space group is No. 123.

a b c (Å): 5.423 6.061 5.423
angles (deg): 90.00 90.00 90.00
Positions (direct):
Sb1 0.500 0.500 0.500
Bi1 0.000 0.000 0.500
Bi2 0.500 0.000 0.000
P1 0.000 0.000 0.000
Ba1 0.000 0.500 0.000

---

No. 2
Computed, not measured: a relaxed CeNb2W crystal at the PBE level of DFT.

Values from the calculation:
The space group is No. 166. For the formation energy, the calculation gives 0.434 eV/atom.

a b c (Å): 3.074 3.074 9.993
angles (deg): 81.15 81.15 60.00
Positions (direct):
Nb1 0.096 0.096 0.711
Nb2 0.904 0.904 0.289
Ce1 0.000 0.000 0.000
W1 0.500 0.500 0.500

---

No. 3
Computed, not measured: a relaxed Ba2Hg2Sb crystal at the PBE level of DFT.

Values from the calculation:
As for the formation energy without anion corrections: -0.66 eV per atom. The space group is No. 12.

a b c (Å): 4.862 7.069 12.030
angles (deg): 84.74 78.34 69.89
Positions (direct):
Ba1 0.700 0.225 0.374
Ba2 0.913 0.281 0.894
Ba3 0.300 0.775 0.626
Ba4 0.087 0.719 0.106
Hg1 0.989 0.407 0.615
Hg2 0.646 0.824 0.883
Hg3 0.011 0.593 0.385
Hg4 0.354 0.176 0.117
Sb1 0.585 0.146 0.685
Sb2 0.415 0.854 0.315

---

No. 4
Computed, not measured: a relaxed LaTl2P crystal at the PBE level of DFT.

Values from the calculation:
The space group is No. 12. For the formation energy, the calculation gives -0.454 eV/atom.

a b c (Å): 6.886 6.886 4.337
angles (deg): 71.71 71.71 127.32
Positions (direct):
La1 0.500 0.000 0.500
P1 0.000 0.500 0.500
Tl1 0.000 0.000 0.000
Tl2 0.500 0.500 0.000

---

No. 5
Computed, not measured: a relaxed Cr2AgI crystal at the PBE level of DFT.

Values from the calculation:
As for the formation energy without anion corrections: 0.95 eV per atom. The space group is No. 122.

a b c (Å): 5.031 5.031 9.235
angles (deg): 74.20 74.20 90.00
Positions (direct):
I1 0.000 0.000 0.000
I2 0.750 0.250 0.500
Cr1 0.604 0.125 0.250
Cr2 0.146 0.625 0.250
Cr3 0.375 0.396 0.750
Cr4 0.875 0.854 0.750
Ag1 0.500 0.500 0.000
Ag2 0.250 0.750 0.500

---

No. 6
Computed, not measured: a relaxed LaPmHoZr crystal at the PBE level of DFT.

Values from the calculation:
The space group is No. 216. For the formation energy, the calculation gives 0.205 eV/atom.

a b c (Å): 5.552 5.552 5.552
angles (deg): 60.00 60.00 60.00
Positions (direct):
La1 0.750 0.750 0.750
Ho1 0.000 0.000 0.000
Zr1 0.500 0.500 0.500
Pm1 0.250 0.250 0.250